[1]
{"formula": "NaPmAgPd", "functional": "GGA-PBE", "state": "optimized geometry", "cell": [[-2.0447, 0.7305, 4.5576], [-5.0175, -0.0608, 0.5548], [-2.2267, -3.8356, 2.4118]], "species": ["Ag", "Na", "Pd", "Pm"], "fractional_positions": [[0.2500, 0.2500, 0.2500], [0.5000, 0.5000, 0.5000], [0.7500, 0.7500, 0.7500], [0.0000, 0.0000, 0.0000]], "dft_energy_ev_per_atom": -3.8104, "volume_a3_per_atom": 22.75, "formation_energy_ev_per_atom": -0.282, "sg": "No. 216", "m_tot_mub_per_fu": 0.000}

[2]
{"formula": "GaNi3Ge3", "functional": "GGA-PBE", "state": "optimized geometry", "cell": [[-2.9018, -3.6833, 4.1927], [-3.9000, -3.9721, -2.8922], [2.4486, -5.7957, -0.1043]], "species": ["Ge", "Ni", "Ge", "Ga", "Ni", "Ni", "Ga", "Ge", "Ge", "Ge", "Ge", "Ni", "Ni", "Ni"], "fractional_positions": [[0.5919, 0.8731, 0.1889], [0.3906, 0.7131, 0.0475], [0.4081, 0.1269, 0.8111], [0.6676, 0.6680, 0.6682], [0.2873, 0.9525, 0.6089], [0.9524, 0.6083, 0.2878], [0.3324, 0.3320, 0.3318], [0.1266, 0.8113, 0.4080], [0.8734, 0.1887, 0.5920], [0.8118, 0.4077, 0.1262], [0.1882, 0.5923, 0.8738], [0.6094, 0.2869, 0.9525], [0.7127, 0.0475, 0.3911], [0.0476, 0.3917, 0.7122]], "dft_energy_ev_per_atom": -5.0989, "volume_a3_per_atom": 15.04, "formation_energy_ev_per_atom": -0.210, "sg": "No. 2", "m_tot_mub_per_fu": 0.000}

[3]
{"formula": "NaHfSnPd2", "functional": "GGA-PBE", "state": "optimized geometry", "cell": [[5.0799, 0.0000, 0.0000], [0.0000, 5.3184, 0.0000], [0.0000, 0.0000, 5.0799]], "species": ["Pd", "Hf", "Sn", "Pd", "Na"], "fractional_positions": [[0.5000, 0.0000, 0.0000], [0.0000, 0.5000, 0.0000], [0.0000, 0.0000, 0.0000], [0.0000, 0.0000, 0.5000], [0.5000, 0.5000, 0.5000]], "dft_energy_ev_per_atom": -4.5332, "volume_a3_per_atom": 27.45, "formation_energy_ev_per_atom": 0.599, "sg": "No. 123", "m_tot_mub_per_fu": 0.000}